A plane-wave DFT calculation with PBE+U was carried out for a geometry-optimized Na2TaMnO structure.

E_tot = -4.682 eV/atom
symmetry = P4/mmm

Cell lengths 6.0996, 3.5986, 6.0996 Å; angles 90.00, 90.00, 90.00 degrees
With the nearest neighbours (Å) after each atom.
Atoms (fractional coordinates):
1 Na 0.0000 0.0000 0.5000  2 Mn 3.05
2 Na 0.5000 0.0000 0.0000  2 Mn 3.05
3 Mn 0.0000 0.0000 0.0000  2 O 1.80
4 O 0.0000 0.5000 0.0000  2 Mn 1.80
5 Ta 0.5000 0.5000 0.5000  8 Na 3.54, 2 Ta 3.60